Record 1
# V2CrBr

A relaxed structure of V2CrBr (GGA-PBE, Alexandria).

The space group is Fm-3m (No. 225) and the conventional cell measures 6.155, 6.155 and 6.155 Å, with angles of 90.00, 90.00 and 90.00 degrees. Symmetry generates all atoms from V at (0.250, 0.250, 0.250), Cr at (0.000, 0.000, 0.000) and Br at (0.000, 0.000, 0.500).

The raw formation energy comes out at 0.76 eV/atom. The calculation puts the density of states at the Fermi level at 14.52 states/eV/cell. The value obtained for the energy above the most stable polymorph in this dataset is 0.0 meV per atom.

***

Record 2
# VCrBr2

A relaxed structure of VCrBr2 (GGA-PBE, Alexandria).

The space group is Fm-3m (No. 225) and the conventional cell measures 7.003, 7.003 and 7.003 Å, with angles of 90.00, 90.00 and 90.00 degrees. Symmetry generates all atoms from V at (0.000, 0.000, 0.000), Cr at (0.000, 0.000, 0.500) and Br at (0.250, 0.250, 0.250).

The raw formation energy comes out at 0.43 eV/atom. The calculation puts the density of states at the Fermi level at 16.99 states/eV/cell. The value obtained for the energy above the most stable polymorph in this dataset is 118.0 meV per atom.

***

Record 3
# VCr3Br

A relaxed structure of VCr3Br (GGA-PBE, Alexandria).

The space group is Pm-3m (No. 221) and the conventional cell measures 4.683, 4.683 and 4.683 Å, with angles of 90.00, 90.00 and 90.00 degrees. Symmetry generates all atoms from V at (0.000, 0.000, 0.000), Cr at (0.000, 0.000, 0.500) and Br at (0.500, 0.500, 0.500).

The raw formation energy comes out at 1.34 eV/atom. The calculation puts the density of states at the Fermi level at 7.97 states/eV/cell. The value obtained for the energy above the most stable polymorph in this dataset is 0.0 meV per atom.

***

Record 4
# VCr3Br

A relaxed structure of VCr3Br (GGA-PBE, Alexandria).

The space group is Pm-3m (No. 221) and the conventional cell measures 4.526, 4.526 and 4.526 Å, with angles of 90.00, 90.00 and 90.00 degrees. Symmetry generates all atoms from V at (0.000, 0.000, 0.000), Cr at (0.000, 0.500, 0.500) and Br at (0.500, 0.500, 0.500).

The raw formation energy comes out at 1.39 eV/atom. The calculation puts the density of states at the Fermi level at 9.16 states/eV/cell. The value obtained for the energy above the most stable polymorph in this dataset is 49.0 meV per atom.

***

Record 5
# VCrBr2

A relaxed structure of VCrBr2 (GGA-PBE, Alexandria).

The space group is I-42d (No. 122) and the conventional cell measures 5.374, 5.374 and 15.044 Å, with angles of 90.00, 90.00 and 90.00 degrees. Symmetry generates all atoms from V at (0.000, 0.000, 0.000), Cr at (0.000, 0.000, 0.500) and Br at (0.240, 0.250, 0.125).

The raw formation energy comes out at 0.32 eV/atom. The calculation puts the density of states at the Fermi level at 17.49 states/eV/cell. The value obtained for the energy above the most stable polymorph in this dataset is 0.0 meV per atom.

***

Record 6
# V2CrBr

A relaxed structure of V2CrBr (GGA-PBE, Alexandria).

The space group is I-42d (No. 122) and the conventional cell measures 5.177, 5.177 and 12.445 Å, with angles of 90.00, 90.00 and 90.00 degrees. Symmetry generates all atoms from V at (0.192, 0.250, 0.125), Cr at (0.000, 0.000, 0.000) and Br at (0.000, 0.000, 0.500).

The raw formation energy comes out at 1.09 eV/atom. The calculation puts the density of states at the Fermi level at 20.11 states/eV/cell. The value obtained for the energy above the most stable polymorph in this dataset is 327.6 meV per atom.

***

Record 7
# CrW2Br

A relaxed structure of CrW2Br (GGA-PBE, Alexandria).

The space group is P4/mmm (No. 123) and the conventional cell measures 3.749, 3.749 and 4.778 Å, with angles of 90.00, 90.00 and 90.00 degrees. Symmetry generates all atoms from Cr at (0.000, 0.000, 0.000), W at (0.000, 0.500, 0.500) and Br at (0.500, 0.500, 0.000).

The raw formation energy comes out at 1.21 eV/atom. The calculation puts the density of states at the Fermi level at 2.60 states/eV/cell. The value obtained for the energy above the most stable polymorph in this dataset is 671.5 meV per atom.

***

Record 8
# CrW2Br

A relaxed structure of CrW2Br (GGA-PBE, Alexandria).

The space group is Cmmm (No. 65) and the conventional cell measures 5.205, 8.598 and 2.905 Å, with angles of 90.00, 90.00 and 90.00 degrees. Symmetry generates all atoms from Cr at (0.000, 0.000, 0.000), W at (0.250, 0.250, 0.500) and Br at (0.000, 0.500, 0.000).

The raw formation energy comes out at 1.18 eV/atom. The calculation puts the density of states at the Fermi level at 7.29 states/eV/cell. The value obtained for the energy above the most stable polymorph in this dataset is 646.4 meV per atom.

***

- Which formula does entry 6 have?
  V2CrBr

***

- Among the records above, which one has the highest raw formation energy?
  number 4

***

Please write out number 3 again, unchanged.
# VCr3Br

A relaxed structure of VCr3Br (GGA-PBE, Alexandria).

The space group is Pm-3m (No. 221) and the conventional cell measures 4.683, 4.683 and 4.683 Å, with angles of 90.00, 90.00 and 90.00 degrees. Symmetry generates all atoms from V at (0.000, 0.000, 0.000), Cr at (0.000, 0.000, 0.500) and Br at (0.500, 0.500, 0.500).

The raw formation energy comes out at 1.34 eV/atom. The calculation puts the density of states at the Fermi level at 7.97 states/eV/cell. The value obtained for the energy above the most stable polymorph in this dataset is 0.0 meV per atom.

***

Copy entry 6 word for word.
# V2CrBr

A relaxed structure of V2CrBr (GGA-PBE, Alexandria).

The space group is I-42d (No. 122) and the conventional cell measures 5.177, 5.177 and 12.445 Å, with angles of 90.00, 90.00 and 90.00 degrees. Symmetry generates all atoms from V at (0.192, 0.250, 0.125), Cr at (0.000, 0.000, 0.000) and Br at (0.000, 0.000, 0.500).

The raw formation energy comes out at 1.09 eV/atom. The calculation puts the density of states at the Fermi level at 20.11 states/eV/cell. The value obtained for the energy above the most stable polymorph in this dataset is 327.6 meV per atom.